1.
The following is a PBE-GGA calculation of a relaxed structure of MnCoCuRh2, from Alexandria via LeMat-Bulk.

Cell lengths 4.4409, 4.4409, 4.3746 Å; angles 90.00, 90.00, 90.00 degrees
Space group P4/mmm (No. 123)
Unique sites:
Mn 0.0000 0.0000 0.0000
Co 0.0000 0.0000 0.5000
Cu 0.5000 0.5000 0.0000
Rh 0.0000 0.5000 0.5000

The calculation puts the density of states at the Fermi level at 0.8381 states/eV per atom. The raw total energy is -30.1 eV per cell.

=====

2.
The following is a PBE-GGA calculation of a relaxed structure of CdAu3I, from Alexandria via LeMat-Bulk.

Cell lengths 5.4370, 5.4370, 5.4370 Å; angles 90.00, 90.00, 90.00 degrees
Space group Pm-3m (No. 221)
Unique sites:
Cd 0.0000 0.0000 0.0000
Au 0.0000 0.5000 0.5000
I 0.5000 0.5000 0.5000

The calculation puts the density of states at the Fermi level at 0.2350 states/eV per atom. The value obtained for the energy relative to the elements, uncorrected is 0.711 eV per atom. The raw total energy is -8.7 eV per cell.

=====

3.
The following is a PBE-GGA calculation of a relaxed structure of LaZrTa3O11, from Alexandria via LeMat-Bulk.

Cell lengths 6.3497, 10.9786, 12.5983 Å; angles 90.00, 90.24, 90.00 degrees
Space group C2 (No. 5)
Unique sites:
La 0.0000 0.0000 0.0000
La 0.0000 0.3340 0.5000
Zr 0.1779 0.8477 0.2485
Ta 0.0000 0.3338 0.0000
Ta 0.0000 0.9964 0.5000
Ta 0.1382 0.1689 0.2518
Ta 0.1785 0.4893 0.2495
O 0.0021 0.3345 0.2920
O 0.0055 0.0035 0.7919
O 0.0889 0.1974 0.0953
O 0.0932 0.1382 0.4058
O 0.1240 0.5473 0.7493
O 0.1383 0.7917 0.7511
O 0.1516 0.4530 0.0955
O 0.1601 0.8823 0.4141
O 0.2399 0.8560 0.0842
O 0.2455 0.4811 0.4048
O 0.2502 0.1622 0.7494

The calculation puts the density of states at the Fermi level at 0.0000 states/eV per atom. The value obtained for the energy relative to the elements, uncorrected is -3.108 eV per atom. The raw total energy is -613.2 eV per cell.

=====

4.
The following is a PBE-GGA calculation of a relaxed structure of NaBiTePOs, from Alexandria via LeMat-Bulk.

Cell lengths 4.0056, 5.9590, 6.0303 Å; angles 109.15, 90.42, 109.52 degrees
Space group P1 (No. 1)
Unique sites:
Na 0.0000 0.0000 0.0000
Bi 0.4015 0.7967 0.4192
Te 0.2296 0.4655 0.8224
P 0.6537 0.2994 0.3818
Os 0.7512 0.4994 0.1323

The calculation puts the density of states at the Fermi level at 0.7004 states/eV per atom. The value obtained for the energy relative to the elements, uncorrected is 0.117 eV per atom. The raw total energy is -24.4 eV per cell.